# 1
A plane-wave DFT calculation with PBE-GGA was carried out for an optimized crystal structure of La5Ho3Tm.

Values from the calculation:
- Spin magnetization: 0.00 μB/f.u.
- Symmetry: C2/c, No. 15
- Offset from the most stable computed form: 0.0 meV/atom
- Formation energy from the elements: 0.151 eV/atom

Unit cell a=8.8077 b=10.1057 c=12.7745 alpha=135.22 beta=90.00 gamma=115.83
Positions (direct):
La: 0.2127 0.5773 0.9675
La: 0.7076 0.0000 0.2500
La: 0.9298 0.4661 0.3156
La: 0.0702 0.5339 0.6844
La: 0.5362 0.4661 0.8156
La: 0.3646 0.5773 0.4675
La: 0.2924 0.0000 0.7500
La: 0.4638 0.5339 0.1844
La: 0.7873 0.4227 0.0325
La: 0.6354 0.4227 0.5325
Ho: 0.0000 0.0000 0.0000
Ho: 0.5620 0.8570 0.8638
Ho: 0.7050 0.1430 0.6362
Ho: 0.2950 0.8570 0.3638
Ho: 0.0000 0.0000 0.5000
Ho: 0.4380 0.1430 0.1362
Tm: 0.8854 0.0000 0.7500
Tm: 0.1146 0.0000 0.2500

=====

# 2
A plane-wave DFT calculation with PBE-GGA was carried out for an optimized crystal structure of La2Ho6Tm3.

Values from the calculation:
- Spin magnetization: 0.00 μB/f.u.
- Symmetry: C2/m, No. 12
- Formation energy from the elements: 0.183 eV/atom

Unit cell a=6.0754 b=6.0748 c=11.7652 alpha=85.05 beta=80.06 gamma=60.00
Positions (direct):
Ho: 0.2523 0.0000 0.2428
Ho: 0.4144 0.6667 0.7574
Ho: 0.9189 0.6667 0.2426
Ho: 0.7477 0.0000 0.7572
Ho: 0.0811 0.3333 0.7574
Ho: 0.5856 0.3333 0.2426
La: 0.8325 0.3351 0.5000
La: 0.1675 0.6649 0.5000
Tm: 0.6655 0.6689 0.0000
Tm: 0.0000 0.0000 0.0000
Tm: 0.3345 0.3311 0.0000

=====

# 3
A plane-wave DFT calculation with PBE-GGA was carried out for an optimized crystal structure of LaHoTm6.

Values from the calculation:
- Spin magnetization: 0.00 μB/f.u.
- Symmetry: P4/mmm, No. 123
- Offset from the most stable computed form: 0.0 meV/atom
- Formation energy from the elements: 0.032 eV/atom

Unit cell a=4.9796 b=7.0559 c=7.0559 alpha=90.01 beta=90.00 gamma=90.00
Positions (direct):
Tm: 0.5000 0.0000 0.5000
Tm: 0.0000 0.2466 0.7534
Tm: 0.0000 0.7535 0.7535
Tm: 0.0000 0.2465 0.2465
Tm: 0.5000 0.5000 0.0000
Tm: 0.0000 0.7534 0.2466
Ho: 0.5000 0.0000 0.0000
La: 0.5000 0.5000 0.5000

=====

# 4
A plane-wave DFT calculation with PBE-GGA was carried out for an optimized crystal structure of La3HoTm12.

Values from the calculation:
- Spin magnetization: 0.00 μB/f.u.
- Symmetry: P4/mmm, No. 123
- Formation energy from the elements: 0.039 eV/atom

Unit cell a=5.0096 b=5.0096 c=20.0671 alpha=90.00 beta=90.00 gamma=90.00
Positions (direct):
Ho: 0.0000 0.0000 0.0000
Tm: 0.5000 0.0000 0.8786
Tm: 0.5000 0.0000 0.3741
Tm: 0.5000 0.5000 0.7524
Tm: 0.5000 0.5000 0.0000
Tm: 0.0000 0.5000 0.8786
Tm: 0.0000 0.5000 0.1214
Tm: 0.0000 0.5000 0.6259
Tm: 0.5000 0.5000 0.5000
Tm: 0.0000 0.5000 0.3741
Tm: 0.5000 0.0000 0.1214
Tm: 0.5000 0.5000 0.2476
Tm: 0.5000 0.0000 0.6259
La: 0.0000 0.0000 0.7502
La: 0.0000 0.0000 0.2498
La: 0.0000 0.0000 0.5000

=====

# 5
A plane-wave DFT calculation with PBE-GGA was carried out for an optimized crystal structure of LaHo8Tm6.

Values from the calculation:
- Spin magnetization: 0.00 μB/f.u.
- Symmetry: P-3, No. 147
- Offset from the most stable computed form: 81.8 meV/atom
- Formation energy from the elements: 0.225 eV/atom

Unit cell a=6.4185 b=9.3829 c=9.3829 alpha=120.00 beta=90.00 gamma=90.00
Positions (direct):
Tm: 0.5894 0.4195 0.3197
Tm: 0.4106 0.3197 0.9001
Tm: 0.4106 0.5805 0.6803
Tm: 0.5894 0.9001 0.5805
Tm: 0.5894 0.6803 0.0999
Tm: 0.4106 0.0999 0.4195
Ho: 0.0916 0.6597 0.9741
Ho: 0.1690 0.6667 0.3333
Ho: 0.9084 0.6856 0.6597
Ho: 0.0916 0.0259 0.6856
Ho: 0.8310 0.3333 0.6667
Ho: 0.9084 0.9741 0.3144
Ho: 0.9084 0.3403 0.0259
Ho: 0.0916 0.3144 0.3403
La: 0.5000 0.0000 0.0000

=====

# 6
A plane-wave DFT calculation with PBE-GGA was carried out for an optimized crystal structure of LaHo7Tm3.

Values from the calculation:
- Spin magnetization: 0.00 μB/f.u.
- Symmetry: Immm, No. 71
- Offset from the most stable computed form: 114.3 meV/atom
- Formation energy from the elements: 0.261 eV/atom

Unit cell a=5.7666 b=8.3790 c=8.3790 alpha=83.47 beta=110.17 gamma=110.17
Positions (direct):
Ho: 0.2915 0.9850 0.5980
Ho: 0.2915 0.5980 0.9850
Ho: 0.7943 0.7945 0.7945
Ho: 0.7085 0.0150 0.4020
Ho: 0.0000 0.5000 0.5000
Ho: 0.2057 0.2055 0.2055
Ho: 0.7085 0.4020 0.0150
Tm: 0.0000 0.2046 0.7954
Tm: 0.0000 0.7954 0.2046
Tm: 0.5000 0.0000 0.0000
La: 0.5000 0.5000 0.5000

=====

# 7
A plane-wave DFT calculation with PBE-GGA was carried out for an optimized crystal structure of La8HoTm4.

Values from the calculation:
- Spin magnetization: 0.00 μB/f.u.
- Symmetry: R-3m, No. 166
- Formation energy from the elements: 0.170 eV/atom

Unit cell a=7.1777 b=7.1777 c=10.9126 alpha=90.00 beta=109.20 gamma=120.00
Positions (direct):
La: 0.9641 0.2116 0.7165
La: 0.4951 0.2476 0.2835
La: 0.0359 0.7884 0.2835
La: 0.9641 0.7524 0.7165
La: 0.5049 0.7524 0.7165
La: 0.0359 0.2476 0.2835
La: 0.4191 0.2096 0.6287
La: 0.5809 0.7904 0.3713
Tm: 0.0000 0.0000 0.0000
Tm: 0.5000 0.0000 0.0000
Tm: 0.0000 0.5000 0.0000
Tm: 0.5000 0.5000 0.0000
Ho: 0.0000 0.5000 0.5000

=====

# 8
A plane-wave DFT calculation with PBE-GGA was carried out for an optimized crystal structure of La4HoTm3.

Values from the calculation:
- Spin magnetization: 0.00 μB/f.u.
- Symmetry: Pmmn, No. 59
- Formation energy from the elements: 0.035 eV/atom

Unit cell a=5.1316 b=10.1995 c=10.2643 alpha=90.00 beta=90.00 gamma=90.00
Positions (direct):
La: 0.5644 0.8722 0.7499
La: 0.0644 0.8711 0.0000
La: 0.5644 0.1282 0.0000
La: 0.0644 0.1278 0.7501
La: 0.0644 0.8718 0.5000
La: 0.5644 0.8722 0.2501
La: 0.0644 0.1278 0.2499
La: 0.5644 0.1289 0.5000
Ho: 0.5644 0.6149 0.5000
Ho: 0.0644 0.3851 0.0000
Tm: 0.5644 0.3850 0.2498
Tm: 0.5644 0.6153 0.0000
Tm: 0.5644 0.3850 0.7502
Tm: 0.0644 0.3847 0.5000
Tm: 0.0644 0.6150 0.2502
Tm: 0.0644 0.6150 0.7498

=====

# 9
A plane-wave DFT calculation with PBE-GGA was carried out for an optimized crystal structure of La6Ho5Tm.

Values from the calculation:
- Spin magnetization: 0.00 μB/f.u.
- Symmetry: Immm, No. 71
- Offset from the most stable computed form: 0.0 meV/atom
- Formation energy from the elements: 0.023 eV/atom

Unit cell a=5.2353 b=11.1989 c=9.6293 alpha=54.44 beta=74.25 gamma=62.16
Positions (direct):
Ho: 0.5000 0.8334 0.3331
Ho: 0.0000 0.3334 0.3332
Ho: 0.0000 0.6666 0.6668
Ho: 0.5000 0.1666 0.6669
Ho: 0.5000 0.5000 0.0000
La: 0.7504 0.4162 0.6669
La: 0.2496 0.9169 0.6668
La: 0.2507 0.2493 0.0000
La: 0.2496 0.5838 0.3331
La: 0.7504 0.0831 0.3332
La: 0.7493 0.7507 0.0000
Tm: 0.0000 0.0000 0.0000

=====

# 10
A plane-wave DFT calculation with PBE-GGA was carried out for an optimized crystal structure of LaHo4Tm.

Values from the calculation:
- Spin magnetization: 0.01 μB/f.u.
- Symmetry: C2/m, No. 12
- Offset from the most stable computed form: 3.4 meV/atom
- Formation energy from the elements: 0.205 eV/atom

Unit cell a=3.4178 b=6.0325 c=10.1523 alpha=87.35 beta=80.31 gamma=73.54
Positions (direct):
Ho: 0.3450 0.4617 0.8484
Ho: 0.6550 0.5383 0.1516
Ho: 0.1534 0.0335 0.6596
Ho: 0.8466 0.9665 0.3404
Tm: 0.0000 0.0000 0.0000
La: 0.5000 0.5000 0.5000

=====

# 11
A plane-wave DFT calculation with PBE-GGA was carried out for an optimized crystal structure of La4HoTm10.

Values from the calculation:
- Spin magnetization: 0.01 μB/f.u.
- Symmetry: I4/m, No. 87
- Formation energy from the elements: 0.379 eV/atom

Unit cell a=10.5698 b=8.6915 c=8.6915 alpha=68.30 beta=52.55 gamma=52.55
Positions (direct):
Tm: 0.7500 0.5000 0.5000
Tm: 0.4520 0.0969 0.3218
Tm: 0.5480 0.9031 0.6782
Tm: 0.1293 0.0969 0.3218
Tm: 0.7738 0.6782 0.0969
Tm: 0.4511 0.6782 0.0969
Tm: 0.5489 0.3218 0.9031
Tm: 0.8707 0.9031 0.6782
Tm: 0.2262 0.3218 0.9031
Tm: 0.2500 0.5000 0.5000
Ho: 0.0000 0.0000 0.0000
La: 0.6637 0.2679 0.4047
La: 0.0684 0.5953 0.2679
La: 0.3363 0.7321 0.5953
La: 0.9316 0.4047 0.7321

=====

# 12
A plane-wave DFT calculation with PBE-GGA was carried out for an optimized crystal structure of La3Ho2Tm5.

Values from the calculation:
- Spin magnetization: 0.00 μB/f.u.
- Symmetry: C2/c, No. 15
- Formation energy from the elements: 0.196 eV/atom

Unit cell a=9.3327 b=9.3133 c=11.1786 alpha=124.39 beta=124.43 gamma=69.20
Positions (direct):
Tm: 0.7256 0.4756 0.9511
Tm: 0.3717 0.1186 0.7182
Tm: 0.1534 0.4003 0.2818
Tm: 0.8466 0.5997 0.7182
Tm: 0.9739 0.2239 0.4478
Tm: 0.2744 0.5244 0.0489
Tm: 0.0261 0.7761 0.5522
Tm: 0.4705 0.7204 0.4409
Tm: 0.5295 0.2796 0.5591
Tm: 0.6283 0.8814 0.2818
La: 0.7633 0.0133 0.0266
La: 0.7310 0.4725 0.2483
La: 0.2690 0.5275 0.7517
La: 0.0173 0.7758 0.2483
La: 0.2367 0.9867 0.9734
La: 0.9827 0.2242 0.7517
Ho: 0.2346 0.9896 0.2704
Ho: 0.7654 0.0104 0.7296
Ho: 0.5358 0.2807 0.2704
Ho: 0.4642 0.7193 0.7296

=====

# 13
A plane-wave DFT calculation with PBE-GGA was carried out for an optimized crystal structure of La2Ho7Tm3.

Values from the calculation:
- Spin magnetization: 0.00 μB/f.u.
- Symmetry: P2/m, No. 10
- Offset from the most stable computed form: 0.0 meV/atom
- Formation energy from the elements: 0.085 eV/atom

Unit cell a=3.5040 b=6.3293 c=17.8600 alpha=75.54 beta=90.00 gamma=90.00
Positions (direct):
Ho: 0.5000 0.7594 0.4983
Ho: 0.0000 0.4379 0.8387
Ho: 0.0000 0.0000 0.0000
Ho: 0.5000 0.2406 0.5017
Ho: 0.5000 0.9358 0.8339
Ho: 0.0000 0.5621 0.1613
Ho: 0.5000 0.0642 0.1661
Tm: 0.0000 0.8899 0.6569
Tm: 0.0000 0.1101 0.3431
Tm: 0.5000 0.5000 0.0000
La: 0.5000 0.3868 0.6727
La: 0.5000 0.6132 0.3273

=====

# 14
A plane-wave DFT calculation with PBE-GGA was carried out for an optimized crystal structure of LaHoTm.

Values from the calculation:
- Spin magnetization: 0.00 μB/f.u.
- Symmetry: Cmcm, No. 63
- Offset from the most stable computed form: 6.6 meV/atom
- Formation energy from the elements: 0.041 eV/atom

Unit cell a=5.0931 b=8.0726 c=8.0728 alpha=143.62 beta=90.00 gamma=90.00
Positions (direct):
La: 0.6612 0.7174 0.2546
La: 0.1612 0.8826 0.0891
Ho: 0.1612 0.5515 0.4206
Ho: 0.6612 0.0486 0.9231
Tm: 0.6612 0.3855 0.5864
Tm: 0.1612 0.2145 0.7573

=====

# 15
A plane-wave DFT calculation with PBE-GGA was carried out for an optimized crystal structure of La2Ho4Tm3.

Values from the calculation:
- Spin magnetization: 0.02 μB/f.u.
- Symmetry: P3m1, No. 156
- Offset from the most stable computed form: 0.0 meV/atom
- Formation energy from the elements: 0.048 eV/atom

Unit cell a=3.5843 b=3.5843 c=26.2816 alpha=90.00 beta=90.00 gamma=120.00
Positions (direct):
Ho: 0.6667 0.3333 0.2260
Ho: 0.6667 0.3333 0.4357
Ho: 0.0000 0.0000 0.7534
Ho: 0.0000 0.0000 0.5426
Tm: 0.0000 0.0000 0.3299
Tm: 0.6667 0.3333 0.6484
Tm: 0.0000 0.0000 0.9820
La: 0.6667 0.3333 0.8678
La: 0.6667 0.3333 0.0913

=====

# 16
A plane-wave DFT calculation with PBE-GGA was carried out for an optimized crystal structure of La3HoTm3.

Values from the calculation:
- Spin magnetization: 0.00 μB/f.u.
- Symmetry: R-3, No. 148
- Offset from the most stable computed form: 0.0 meV/atom
- Formation energy from the elements: 0.140 eV/atom

Unit cell a=9.4053 b=9.4053 c=8.2575 alpha=55.28 beta=55.28 gamma=60.00
Positions (direct):
La: 0.8703 0.1668 0.2333
La: 0.1668 0.7295 0.2333
La: 0.7295 0.8703 0.2333
La: 0.1297 0.8332 0.7667
La: 0.2705 0.1297 0.7667
La: 0.8332 0.2705 0.7667
Tm: 0.5553 0.6876 0.7833
Tm: 0.4447 0.3124 0.2167
Tm: 0.3124 0.0262 0.2167
Tm: 0.6876 0.9738 0.7833
Tm: 0.9738 0.5553 0.7833
Tm: 0.0262 0.4447 0.2167
Ho: 0.4083 0.4083 0.7750
Ho: 0.5917 0.5917 0.2250

=====

# 17
A plane-wave DFT calculation with PBE-GGA was carried out for an optimized crystal structure of La4Ho6Tm.

Values from the calculation:
- Spin magnetization: 0.00 μB/f.u.
- Symmetry: I-42m, No. 121
- Formation energy from the elements: 0.290 eV/atom

Unit cell a=9.7221 b=9.7221 c=9.7221 alpha=58.75 beta=139.41 gamma=139.41
Positions (direct):
Ho: 0.5000 0.0000 0.5000
Ho: 0.6503 0.2071 0.2071
Ho: 0.0000 0.4431 0.7929
Ho: 0.0000 0.7929 0.4431
Ho: 0.3497 0.5569 0.5569
Ho: 0.5000 0.5000 0.0000
Tm: 0.0000 0.0000 0.0000
La: 0.0000 0.6334 0.0125
La: 0.3791 0.3666 0.3666
La: 0.6209 0.9875 0.9875
La: 0.0000 0.0125 0.6334

=====

# 18
A plane-wave DFT calculation with PBE-GGA was carried out for an optimized crystal structure of LaHo5Tm.

Values from the calculation:
- Spin magnetization: 0.00 μB/f.u.
- Symmetry: C2/c, No. 15
- Offset from the most stable computed form: 0.0 meV/atom
- Formation energy from the elements: 0.100 eV/atom

Unit cell a=6.5276 b=6.5276 c=11.7543 alpha=106.13 beta=106.13 gamma=95.36
Positions (direct):
Ho: 0.2379 0.5308 0.9652
Ho: 0.1701 0.8299 0.2500
Ho: 0.4692 0.7621 0.5348
Ho: 0.6151 0.9666 0.1680
Ho: 0.3849 0.0334 0.8320
Ho: 0.0334 0.3849 0.3320
Ho: 0.7621 0.4692 0.0348
Ho: 0.5308 0.2379 0.4652
Ho: 0.9666 0.6151 0.6680
Ho: 0.8299 0.1701 0.7500
La: 0.0000 0.0000 0.0000
La: 0.0000 0.0000 0.5000
Tm: 0.4875 0.5125 0.7500
Tm: 0.5125 0.4875 0.2500

=====

# 19
A plane-wave DFT calculation with PBE-GGA was carried out for an optimized crystal structure of La4Ho7Tm.

Values from the calculation:
- Spin magnetization: 0.00 μB/f.u.
- Symmetry: C2/m, No. 12
- Formation energy from the elements: 0.277 eV/atom

Unit cell a=5.9276 b=11.9246 c=6.7151 alpha=85.69 beta=63.81 gamma=75.61
Positions (direct):
Ho: 0.0334 0.6280 0.3052
Ho: 0.6458 0.4870 0.2213
Ho: 0.9666 0.3720 0.6948
Ho: 0.2057 0.0831 0.5054
Ho: 0.5000 0.0000 0.0000
Ho: 0.3542 0.5130 0.7787
Ho: 0.7943 0.9169 0.4946
La: 0.3581 0.7756 0.5081
La: 0.3045 0.2878 0.1033
La: 0.6955 0.7122 0.8967
La: 0.6419 0.2244 0.4919
Tm: 0.0000 0.0000 0.0000

=====

# 20
A plane-wave DFT calculation with PBE-GGA was carried out for an optimized crystal structure of La6HoTm2.

Values from the calculation:
- Spin magnetization: 0.00 μB/f.u.
- Symmetry: P-6m2, No. 187
- Offset from the most stable computed form: 0.0 meV/atom
- Formation energy from the elements: 0.055 eV/atom

Unit cell a=3.6458 b=3.6458 c=27.5220 alpha=90.00 beta=90.00 gamma=120.00
Positions (direct):
Ho: 0.3333 0.6667 0.0000
La: 0.6667 0.3333 0.1060
La: 0.6667 0.3333 0.8940
La: 0.3333 0.6667 0.5675
La: 0.3333 0.6667 0.4325
La: 0.3333 0.6667 0.2241
La: 0.3333 0.6667 0.7759
Tm: 0.6667 0.3333 0.3293
Tm: 0.6667 0.3333 0.6707